# CdI2 (PBE, optimized geometry)
# Magnetization   0.0000 μB/atom
# Uncorrected formation energy   -0.5701 eV/atom
data_CdI2
_cell_length_a 4.3163
_cell_length_b 4.3163
_cell_length_c 52.6496
_cell_angle_alpha 90.00
_cell_angle_beta 90.00
_cell_angle_gamma 120.00
_space_group_name_H-M_alt 'P 3 m 1'
_space_group_IT_number 156
loop_
_space_group_symop_operation_xyz
'x,y,z'
'-y,x-y,z'
'-x+y,-x,z'
'-y,-x,z'
'-x+y,y,z'
'x,x-y,z'
loop_
_atom_site_label
_atom_site_type_symbol
_atom_site_fract_x
_atom_site_fract_y
_atom_site_fract_z
Cd1 Cd 0.0000 0.0000 0.0000
Cd2 Cd 0.0000 0.0000 0.1427
Cd3 Cd 0.0000 0.0000 0.2858
Cd4 Cd 0.0000 0.0000 0.4284
Cd5 Cd 0.0000 0.0000 0.5715
Cd6 Cd 0.3333 0.6667 0.7143
Cd7 Cd 0.3333 0.6667 0.8570
I1 I 0.0000 0.0000 0.6815
I2 I 0.0000 0.0000 0.8242
I3 I 0.3333 0.6667 0.1098
I4 I 0.3333 0.6667 0.2530
I5 I 0.3333 0.6667 0.3956
I6 I 0.3333 0.6667 0.5386
I7 I 0.3333 0.6667 0.9672
I8 I 0.6667 0.3333 0.0329
I9 I 0.6667 0.3333 0.1755
I10 I 0.6667 0.3333 0.3187
I11 I 0.6667 0.3333 0.4613
I12 I 0.6667 0.3333 0.6043
I13 I 0.6667 0.3333 0.7472
I14 I 0.6667 0.3333 0.8899

# CdI (PBE, optimized geometry)
# Magnetization   0.0000 μB/atom
# Uncorrected formation energy   -0.3259 eV/atom
data_CdI
_cell_length_a 12.3352
_cell_length_b 12.3352
_cell_length_c 4.0844
_cell_angle_alpha 90.00
_cell_angle_beta 90.00
_cell_angle_gamma 90.00
_space_group_name_H-M_alt 'P 4/m'
_space_group_IT_number 83
loop_
_space_group_symop_operation_xyz
'x,y,z'
'-x,-y,-z'
'-y,x,z'
'y,-x,-z'
'-x,-y,z'
'x,y,-z'
'y,-x,z'
'-y,x,-z'
loop_
_atom_site_label
_atom_site_type_symbol
_atom_site_fract_x
_atom_site_fract_y
_atom_site_fract_z
Cd1 Cd 0.0828 0.3337 0.0000
Cd2 Cd 0.0854 0.5981 0.5000
I1 I 0.1713 0.1802 0.5000
I2 I 0.2468 0.5111 0.0000

# CdI (PBE, optimized geometry)
# Magnetization   0.0000 μB/atom
# Uncorrected formation energy   -0.0304 eV/atom
data_CdI
_cell_length_a 8.9950
_cell_length_b 8.9950
_cell_length_c 8.9950
_cell_angle_alpha 90.00
_cell_angle_beta 90.00
_cell_angle_gamma 90.00
_space_group_name_H-M_alt 'P m -3 n'
_space_group_IT_number 223
_space_group_name_Hall '-P 4n 2 3'
loop_
_atom_site_label
_atom_site_type_symbol
_atom_site_fract_x
_atom_site_fract_y
_atom_site_fract_z
Cd1 Cd 0.0000 0.2500 0.5000
I1 I 0.0000 0.5000 0.2500

# CdI2 (PBE, optimized geometry)
# Magnetization   0.0000 μB/atom
# Uncorrected formation energy   -0.5700 eV/atom
data_CdI2
_cell_length_a 4.3160
_cell_length_b 4.3160
_cell_length_c 67.5157
_cell_angle_alpha 90.00
_cell_angle_beta 90.00
_cell_angle_gamma 120.00
_space_group_name_H-M_alt 'P 3 m 1'
_space_group_IT_number 156
loop_
_space_group_symop_operation_xyz
'x,y,z'
'-y,x-y,z'
'-x+y,-x,z'
'-y,-x,z'
'-x+y,y,z'
'x,x-y,z'
loop_
_atom_site_label
_atom_site_type_symbol
_atom_site_fract_x
_atom_site_fract_y
_atom_site_fract_z
Cd1 Cd 0.0000 0.0000 0.0000
Cd2 Cd 0.0000 0.0000 0.1100
Cd3 Cd 0.0000 0.0000 0.2200
Cd4 Cd 0.0000 0.0000 0.3306
Cd5 Cd 0.0000 0.0000 0.5537
Cd6 Cd 0.0000 0.0000 0.6656
Cd7 Cd 0.0000 0.0000 0.7774
Cd8 Cd 0.0000 0.0000 0.8889
Cd9 Cd 0.6667 0.3333 0.4420
I1 I 0.0000 0.0000 0.4163
I2 I 0.3333 0.6667 0.0256
I3 I 0.3333 0.6667 0.1356
I4 I 0.3333 0.6667 0.2456
I5 I 0.3333 0.6667 0.3562
I6 I 0.3333 0.6667 0.4676
I7 I 0.3333 0.6667 0.5794
I8 I 0.3333 0.6667 0.6912
I9 I 0.3333 0.6667 0.8030
I10 I 0.3333 0.6667 0.9145
I11 I 0.6667 0.3333 0.0844
I12 I 0.6667 0.3333 0.1944
I13 I 0.6667 0.3333 0.3050
I14 I 0.6667 0.3333 0.5281
I15 I 0.6667 0.3333 0.6400
I16 I 0.6667 0.3333 0.7518
I17 I 0.6667 0.3333 0.8633
I18 I 0.6667 0.3333 0.9744

# CdI2 (PBE, optimized geometry)
# Magnetization   0.0000 μB/atom
# Uncorrected formation energy   -0.5699 eV/atom
data_CdI2
_cell_length_a 4.3149
_cell_length_b 4.3149
_cell_length_c 60.0168
_cell_angle_alpha 90.00
_cell_angle_beta 90.00
_cell_angle_gamma 120.00
_space_group_name_H-M_alt 'P 63 m c'
_space_group_IT_number 186
_space_group_name_Hall 'P 6c -2c'
loop_
_atom_site_label
_atom_site_type_symbol
_atom_site_fract_x
_atom_site_fract_y
_atom_site_fract_z
Cd1 Cd 0.3333 0.6667 0.0000
Cd2 Cd 0.3333 0.6667 0.1253
Cd3 Cd 0.3333 0.6667 0.3749
Cd4 Cd 0.3333 0.6667 0.7502
I1 I 0.0000 0.0000 0.0288
I2 I 0.0000 0.0000 0.1542
I3 I 0.0000 0.0000 0.2791
I4 I 0.0000 0.0000 0.4037
I5 I 0.3333 0.6667 0.2214
I6 I 0.3333 0.6667 0.4712
I7 I 0.3333 0.6667 0.5965
I8 I 0.3333 0.6667 0.8461

# Cd5I (PBE, optimized geometry)
# Magnetization   0.0000 μB/atom
# Uncorrected formation energy   0.0592 eV/atom
data_Cd5I
_cell_length_a 6.0126
_cell_length_b 14.9658
_cell_length_c 3.7208
_cell_angle_alpha 90.00
_cell_angle_beta 90.00
_cell_angle_gamma 90.00
_space_group_name_H-M_alt 'C m m m'
_space_group_IT_number 65
_space_group_name_Hall '-C 2 2'
loop_
_atom_site_label
_atom_site_type_symbol
_atom_site_fract_x
_atom_site_fract_y
_atom_site_fract_z
Cd1 Cd 0.0000 0.0000 0.0000
Cd2 Cd 0.0000 0.1612 0.5000
Cd3 Cd 0.0000 0.3205 0.0000
I1 I 0.0000 0.5000 0.5000

# CdI2 (PBE, optimized geometry)
# Magnetization   0.0000 μB/atom
# Uncorrected formation energy   -0.5700 eV/atom
data_CdI2
_cell_length_a 4.3162
_cell_length_b 4.3162
_cell_length_c 37.5870
_cell_angle_alpha 90.00
_cell_angle_beta 90.00
_cell_angle_gamma 120.00
_space_group_name_H-M_alt 'P 3 m 1'
_space_group_IT_number 156
loop_
_space_group_symop_operation_xyz
'x,y,z'
'-y,x-y,z'
'-x+y,-x,z'
'-y,-x,z'
'-x+y,y,z'
'x,x-y,z'
loop_
_atom_site_label
_atom_site_type_symbol
_atom_site_fract_x
_atom_site_fract_y
_atom_site_fract_z
Cd1 Cd 0.0000 0.0000 0.0000
Cd2 Cd 0.0000 0.0000 0.1998
Cd3 Cd 0.0000 0.0000 0.3999
Cd4 Cd 0.6667 0.3333 0.6001
Cd5 Cd 0.6667 0.3333 0.8000
I1 I 0.0000 0.0000 0.6461
I2 I 0.0000 0.0000 0.8460
I3 I 0.3333 0.6667 0.1538
I4 I 0.3333 0.6667 0.3539
I5 I 0.3333 0.6667 0.5541
I6 I 0.3333 0.6667 0.7540
I7 I 0.3333 0.6667 0.9540
I8 I 0.6667 0.3333 0.0460
I9 I 0.6667 0.3333 0.2459
I10 I 0.6667 0.3333 0.4459

# Cd2I (PBE, optimized geometry)
# Magnetization   0.0000 μB/atom
# Distance to the lowest polymorph of the same formula   0.00 eV/f.u.
# Uncorrected formation energy   -0.0274 eV/atom
data_Cd2I
_cell_length_a 3.8053
_cell_length_b 3.8053
_cell_length_c 12.2093
_cell_angle_alpha 90.00
_cell_angle_beta 90.00
_cell_angle_gamma 90.00
_space_group_name_H-M_alt 'I 4/m m m'
_space_group_IT_number 139
_space_group_name_Hall '-I 4 2'
loop_
_atom_site_label
_atom_site_type_symbol
_atom_site_fract_x
_atom_site_fract_y
_atom_site_fract_z
Cd1 Cd 0.0000 0.0000 0.1803
I1 I 0.0000 0.0000 0.5000

# CdI (PBE, optimized geometry)
# Magnetization   0.0000 μB/atom
# Uncorrected formation energy   -0.3056 eV/atom
data_CdI
_cell_length_a 6.0617
_cell_length_b 4.0542
_cell_length_c 6.0679
_cell_angle_alpha 90.00
_cell_angle_beta 115.46
_cell_angle_gamma 90.00
_space_group_name_H-M_alt 'P 1 21/m 1'
_space_group_IT_number 11
loop_
_space_group_symop_operation_xyz
'x,y,z'
'-x,-y,-z'
'-x,y+1/2,-z'
'x,-y+1/2,z'
loop_
_atom_site_label
_atom_site_type_symbol
_atom_site_fract_x
_atom_site_fract_y
_atom_site_fract_z
Cd1 Cd 0.1090 0.2500 0.3943
I1 I 0.3311 0.7500 0.1689

# CdI2 (PBE, optimized geometry)
# Magnetization   0.0000 μB/atom
# Uncorrected formation energy   -0.5700 eV/atom
data_CdI2
_cell_length_a 4.3163
_cell_length_b 4.3163
_cell_length_c 74.9264
_cell_angle_alpha 90.00
_cell_angle_beta 90.00
_cell_angle_gamma 120.00
_space_group_name_H-M_alt 'P 3 m 1'
_space_group_IT_number 156
loop_
_space_group_symop_operation_xyz
'x,y,z'
'-y,x-y,z'
'-x+y,-x,z'
'-y,-x,z'
'-x+y,y,z'
'x,x-y,z'
loop_
_atom_site_label
_atom_site_type_symbol
_atom_site_fract_x
_atom_site_fract_y
_atom_site_fract_z
Cd1 Cd 0.0000 0.0000 0.0000
Cd2 Cd 0.0000 0.0000 0.1000
Cd3 Cd 0.0000 0.0000 0.2000
Cd4 Cd 0.0000 0.0000 0.3000
Cd5 Cd 0.0000 0.0000 0.4000
Cd6 Cd 0.0000 0.0000 0.5000
Cd7 Cd 0.0000 0.0000 0.6000
Cd8 Cd 0.0000 0.0000 0.7000
Cd9 Cd 0.0000 0.0000 0.8000
Cd10 Cd 0.6667 0.3333 0.9000
I1 I 0.0000 0.0000 0.8769
I2 I 0.3333 0.6667 0.0231
I3 I 0.3333 0.6667 0.1231
I4 I 0.3333 0.6667 0.2231
I5 I 0.3333 0.6667 0.3231
I6 I 0.3333 0.6667 0.4231
I7 I 0.3333 0.6667 0.5231
I8 I 0.3333 0.6667 0.6231
I9 I 0.3333 0.6667 0.7231
I10 I 0.3333 0.6667 0.8231
I11 I 0.3333 0.6667 0.9231
I12 I 0.6667 0.3333 0.0769
I13 I 0.6667 0.3333 0.1769
I14 I 0.6667 0.3333 0.2769
I15 I 0.6667 0.3333 0.3769
I16 I 0.6667 0.3333 0.4769
I17 I 0.6667 0.3333 0.5769
I18 I 0.6667 0.3333 0.6769
I19 I 0.6667 0.3333 0.7769
I20 I 0.6667 0.3333 0.9769

# CdI (PBE, optimized geometry)
# Magnetization   0.0000 μB/atom
# Uncorrected formation energy   -0.4219 eV/atom
data_CdI
_cell_length_a 4.4053
_cell_length_b 6.5747
_cell_length_c 6.9897
_cell_angle_alpha 74.33
_cell_angle_beta 89.98
_cell_angle_gamma 70.53
_space_group_name_H-M_alt 'P -1'
_space_group_IT_number 2
loop_
_space_group_symop_operation_xyz
'x,y,z'
'-x,-y,-z'
loop_
_atom_site_label
_atom_site_type_symbol
_atom_site_fract_x
_atom_site_fract_y
_atom_site_fract_z
Cd1 Cd 0.0988 0.3043 0.4522
I1 I 0.3257 0.8481 0.7727

# CdI2 (PBE, optimized geometry)
# Magnetization   0.0000 μB/atom
# Uncorrected formation energy   -0.5697 eV/atom
data_CdI2
_cell_length_a 4.3156
_cell_length_b 4.3156
_cell_length_c 67.1979
_cell_angle_alpha 90.00
_cell_angle_beta 90.00
_cell_angle_gamma 120.00
_space_group_name_H-M_alt 'P -3 m 1'
_space_group_IT_number 164
_space_group_name_Hall '-P 3 2"'
loop_
_atom_site_label
_atom_site_type_symbol
_atom_site_fract_x
_atom_site_fract_y
_atom_site_fract_z
Cd1 Cd 0.0000 0.0000 0.0000
Cd2 Cd 0.0000 0.0000 0.2222
Cd3 Cd 0.0000 0.0000 0.4445
Cd4 Cd 0.3333 0.6667 0.6667
Cd5 Cd 0.3333 0.6667 0.8889
I1 I 0.0000 0.0000 0.0853
I2 I 0.0000 0.0000 0.3076
I3 I 0.3333 0.6667 0.0257
I4 I 0.3333 0.6667 0.1368
I5 I 0.3333 0.6667 0.2480
I6 I 0.3333 0.6667 0.3591
I7 I 0.3333 0.6667 0.4703
I8 I 0.3333 0.6667 0.5812
I9 I 0.3333 0.6667 0.8035